Record 1
Computed, not measured: a relaxed PIBr3 crystal at the PBEsol level of DFT.

abc: 5.6206 5.6206 5.6206
angles: 90.00 90.00 90.00
Atoms (fractional coordinates):
P  0.0000  0.0000  0.0000
I  0.5000  0.5000  0.5000
Br  0.0000  0.5000  0.5000
Br  0.5000  0.0000  0.5000
Br  0.5000  0.5000  0.0000

Calculated values
The value obtained for the density is 3.718 g/cm³. For the raw formation energy, the calculation gives 0.772 eV per atom. The calculation puts the size of the total moment at 2.57 μB/cell.

=====

Record 2
Computed, not measured: a relaxed PbIBr crystal at the PBEsol level of DFT.

abc: 8.5193 4.3861 10.3833
angles: 90.00 90.00 90.00
Atoms (fractional coordinates):
Pb  0.1702  0.2500  0.1546
Pb  0.3298  0.7500  0.6546
Pb  0.6702  0.2500  0.3454
Pb  0.8298  0.7500  0.8454
I  0.0030  0.2500  0.6703
I  0.4970  0.7500  0.1703
I  0.5030  0.2500  0.8297
I  0.9970  0.7500  0.3297
Br  0.1587  0.7500  0.9460
Br  0.3413  0.2500  0.4460
Br  0.6587  0.7500  0.5540
Br  0.8413  0.2500  0.0540

Calculated values
The value obtained for the density is 7.088 g/cm³. For the raw formation energy, the calculation gives -0.729 eV per atom. The calculation puts the size of the total moment at 0.00 μB/cell.

=====

Record 3
Computed, not measured: a relaxed Pb2IBr crystal at the PBEsol level of DFT.

abc: 5.5174 5.5174 5.5174
angles: 60.00 60.00 60.00
Atoms (fractional coordinates):
Pb  0.2500  0.2500  0.2500
Pb  0.7500  0.7500  0.7500
I  0.0000  0.0000  0.0000
Br  0.5000  0.5000  0.5000

Calculated values
The value obtained for the density is 8.685 g/cm³. For the raw formation energy, the calculation gives -0.220 eV per atom. The calculation puts the size of the total moment at 0.00 μB/cell.

=====

Record 4
Computed, not measured: a relaxed Te2PbIBr crystal at the PBEsol level of DFT.

abc: 5.8227 5.8227 5.8808
angles: 90.00 90.00 90.00
Atoms (fractional coordinates):
Te  0.0000  0.5000  0.0000
Te  0.5000  0.0000  0.0000
Pb  0.0000  0.0000  0.0000
I  0.0000  0.0000  0.5000
Br  0.5000  0.5000  0.5000

Calculated values
The value obtained for the density is 5.573 g/cm³. For the raw formation energy, the calculation gives 0.510 eV per atom. The calculation puts the size of the total moment at 1.12 μB/cell.

=====

Record 5
Computed, not measured: a relaxed PdI3Br crystal at the PBEsol level of DFT.

abc: 5.3496 5.3496 5.3496
angles: 90.00 90.00 90.00
Atoms (fractional coordinates):
Pd  0.0000  0.0000  0.0000
I  0.0000  0.0000  0.5000
I  0.0000  0.5000  0.0000
I  0.5000  0.0000  0.0000
Br  0.5000  0.5000  0.5000

Calculated values
The value obtained for the density is 6.150 g/cm³. For the raw formation energy, the calculation gives 0.138 eV per atom. The calculation puts the size of the total moment at 0.01 μB/cell.

=====

Record 6
Computed, not measured: a relaxed TePtI2Br crystal at the PBEsol level of DFT.

abc: 5.5935 5.5935 5.5089
angles: 90.00 90.00 90.00
Atoms (fractional coordinates):
Te  0.0000  0.0000  0.0000
Pt  0.5000  0.5000  0.0000
I  0.0000  0.5000  0.5000
I  0.5000  0.0000  0.5000
Br  0.0000  0.0000  0.5000

Calculated values
The value obtained for the density is 6.324 g/cm³. For the raw formation energy, the calculation gives 1.372 eV per atom. The calculation puts the size of the total moment at 1.14 μB/cell.

=====

Record 7
Computed, not measured: a relaxed RbI2Br2 crystal at the PBEsol level of DFT.

abc: 8.9114 8.9114 5.5982
angles: 90.00 90.00 90.00
Atoms (fractional coordinates):
Rb  0.0000  0.0000  0.0000
Rb  0.5000  0.5000  0.0000
I  0.1864  0.3136  0.5000
I  0.3136  0.8136  0.5000
I  0.6864  0.1864  0.5000
I  0.8136  0.6864  0.5000
Br  0.1532  0.3468  0.0000
Br  0.3468  0.8468  0.0000
Br  0.6532  0.1532  0.0000
Br  0.8468  0.6532  0.0000

Calculated values
The value obtained for the density is 3.728 g/cm³. For the raw formation energy, the calculation gives -0.633 eV per atom. The calculation puts the size of the total moment at 0.00 μB/cell.

=====

Record 8
Computed, not measured: a relaxed Rb2IBr crystal at the PBEsol level of DFT.

abc: 8.0389 8.0389 8.0389
angles: 111.92 111.92 104.68
Atoms (fractional coordinates):
Rb  0.1032  0.1250  0.4782
Rb  0.3750  0.8968  0.0218
Rb  0.6468  0.6250  0.5218
Rb  0.8750  0.3532  0.9782
I  0.2500  0.7500  0.5000
I  0.5000  0.5000  0.0000
Br  0.0000  0.0000  0.0000
Br  0.7500  0.2500  0.5000

Calculated values
The value obtained for the density is 3.153 g/cm³. For the raw formation energy, the calculation gives -1.500 eV per atom. The value obtained for the polymorph energy (0 for the lowest one) is 0.25 eV/f.u. The calculation puts the size of the total moment at 0.00 μB/cell.

=====

Record 9
Computed, not measured: a relaxed Rb2IBr crystal at the PBEsol level of DFT.

abc: 5.9735 5.9735 5.9735
angles: 60.00 60.00 60.00
Atoms (fractional coordinates):
Rb  0.2500  0.2500  0.2500
Rb  0.7500  0.7500  0.7500
I  0.0000  0.0000  0.0000
Br  0.5000  0.5000  0.5000

Calculated values
The value obtained for the density is 4.162 g/cm³. For the raw formation energy, the calculation gives -1.563 eV per atom. The value obtained for the polymorph energy (0 for the lowest one) is 0.00 eV/f.u. The calculation puts the size of the total moment at 0.00 μB/cell.

=====

Record 10
Computed, not measured: a relaxed RbSeI2Br crystal at the PBEsol level of DFT.

abc: 5.7453 5.7453 5.4949
angles: 90.00 90.00 90.00
Atoms (fractional coordinates):
Rb  0.0000  0.0000  0.0000
Se  0.5000  0.5000  0.5000
I  0.0000  0.5000  0.5000
I  0.5000  0.0000  0.5000
Br  0.5000  0.5000  0.0000

Calculated values
The value obtained for the density is 4.561 g/cm³. For the raw formation energy, the calculation gives -0.642 eV per atom. The calculation puts the size of the total moment at 0.00 μB/cell.

=====

Record 11
Computed, not measured: a relaxed Rb2TeIBr crystal at the PBEsol level of DFT.

abc: 6.9020 6.9020 5.7776
angles: 90.00 90.00 90.00
Atoms (fractional coordinates):
Rb  0.0000  0.5000  0.0000
Rb  0.5000  0.0000  0.0000
Te  0.0000  0.0000  0.0000
I  0.0000  0.0000  0.5000
Br  0.5000  0.5000  0.5000

Calculated values
The value obtained for the density is 3.049 g/cm³. For the raw formation energy, the calculation gives -0.818 eV per atom. The calculation puts the size of the total moment at 0.00 μB/cell.

=====

Record 12
Computed, not measured: a relaxed ReI2Br crystal at the PBEsol level of DFT.

abc: 6.9342 6.9342 6.9342
angles: 114.07 114.07 100.63
Atoms (fractional coordinates):
Re  0.0000  0.0000  0.0000
Re  0.7500  0.2500  0.5000
I  0.0463  0.1250  0.4213
I  0.3750  0.9537  0.0787
I  0.7037  0.6250  0.5787
I  0.8750  0.2963  0.9213
Br  0.2500  0.7500  0.5000
Br  0.5000  0.5000  0.0000

Calculated values
The value obtained for the density is 6.847 g/cm³. For the raw formation energy, the calculation gives 0.686 eV per atom. The calculation puts the size of the total moment at 0.00 μB/cell.

=====

Record 13
Computed, not measured: a relaxed ReSbI2Br crystal at the PBEsol level of DFT.

abc: 5.7089 5.7089 5.5915
angles: 90.00 90.00 90.00
Atoms (fractional coordinates):
Re  0.0000  0.0000  0.0000
Sb  0.5000  0.5000  0.0000
I  0.0000  0.5000  0.5000
I  0.5000  0.0000  0.5000
Br  0.5000  0.5000  0.5000

Calculated values
The value obtained for the density is 5.847 g/cm³. For the raw formation energy, the calculation gives 1.860 eV per atom. The calculation puts the size of the total moment at 4.30 μB/cell.

=====

Record 14
Computed, not measured: a relaxed TaRe2IBr crystal at the PBEsol level of DFT.

abc: 4.6121 4.6121 4.7287
angles: 90.00 90.00 90.00
Atoms (fractional coordinates):
Ta  0.0000  0.0000  0.0000
Re  0.0000  0.5000  0.5000
Re  0.5000  0.0000  0.5000
I  0.5000  0.5000  0.0000
Br  0.0000  0.0000  0.5000

Calculated values
The value obtained for the density is 12.549 g/cm³. For the raw formation energy, the calculation gives 2.315 eV per atom. The calculation puts the size of the total moment at 0.56 μB/cell.

=====

Record 15
Computed, not measured: a relaxed RhSeIBr2 crystal at the PBEsol level of DFT.

abc: 5.0162 5.0162 4.8080
angles: 90.00 90.00 90.00
Atoms (fractional coordinates):
Rh  0.0000  0.0000  0.0000
Se  0.0000  0.0000  0.5000
I  0.5000  0.5000  0.5000
Br  0.0000  0.5000  0.0000
Br  0.5000  0.0000  0.0000

Calculated values
The value obtained for the density is 6.432 g/cm³. For the raw formation energy, the calculation gives 0.139 eV per atom. The calculation puts the size of the total moment at 0.00 μB/cell.

=====

Record 16
Computed, not measured: a relaxed SnRhIBr2 crystal at the PBEsol level of DFT.

abc: 4.9145 4.9145 5.3933
angles: 90.00 90.00 90.00
Atoms (fractional coordinates):
Sn  0.0000  0.0000  0.0000
Rh  0.0000  0.0000  0.5000
I  0.5000  0.5000  0.0000
Br  0.0000  0.5000  0.5000
Br  0.5000  0.0000  0.5000

Calculated values
The value obtained for the density is 6.480 g/cm³. For the raw formation energy, the calculation gives -0.123 eV per atom. The calculation puts the size of the total moment at 0.00 μB/cell.

=====

Record 17
Computed, not measured: a relaxed Tc2RhIBr crystal at the PBEsol level of DFT.

abc: 4.8411 4.8411 5.1521
angles: 90.00 90.00 90.00
Atoms (fractional coordinates):
Tc  0.0000  0.5000  0.0000
Tc  0.5000  0.0000  0.0000
Rh  0.0000  0.0000  0.0000
I  0.0000  0.0000  0.5000
Br  0.5000  0.5000  0.5000

Calculated values
The value obtained for the density is 6.955 g/cm³. For the raw formation energy, the calculation gives 1.649 eV per atom. The calculation puts the size of the total moment at 5.31 μB/cell.

=====

Record 18
Computed, not measured: a relaxed SbRuI2Br crystal at the PBEsol level of DFT.

abc: 5.3223 5.3223 5.0427
angles: 90.00 90.00 90.00
Atoms (fractional coordinates):
Sb  0.0000  0.0000  0.0000
Ru  0.0000  0.0000  0.5000
I  0.0000  0.5000  0.5000
I  0.5000  0.0000  0.5000
Br  0.5000  0.5000  0.0000

Calculated values
The value obtained for the density is 6.470 g/cm³. For the raw formation energy, the calculation gives 0.321 eV per atom. The calculation puts the size of the total moment at 0.00 μB/cell.

=====

Record 19
Computed, not measured: a relaxed TeRuI2Br crystal at the PBEsol level of DFT.

abc: 5.7208 5.7208 5.4467
angles: 90.00 90.00 90.00
Atoms (fractional coordinates):
Te  0.0000  0.0000  0.0000
Ru  0.5000  0.5000  0.0000
I  0.0000  0.5000  0.5000
I  0.5000  0.0000  0.5000
Br  0.0000  0.0000  0.5000

Calculated values
The value obtained for the density is 5.239 g/cm³. For the raw formation energy, the calculation gives 1.538 eV per atom. The calculation puts the size of the total moment at 3.57 μB/cell.

=====

Record 20
Computed, not measured: a relaxed TaSI2Br crystal at the PBEsol level of DFT.

abc: 5.3948 5.3948 4.9014
angles: 90.00 90.00 90.00
Atoms (fractional coordinates):
Ta  0.0000  0.0000  0.0000
S  0.5000  0.5000  0.5000
I  0.0000  0.5000  0.5000
I  0.5000  0.0000  0.5000
Br  0.5000  0.5000  0.0000

Calculated values
The value obtained for the density is 6.364 g/cm³. For the raw formation energy, the calculation gives 1.201 eV per atom. The calculation puts the size of the total moment at 3.68 μB/cell.